Record 1
The following is a GGA-PBE calculation of a relaxed structure of SrMoN, from Alexandria. Values from VASP.

D(E_F) = 2.769 states/eV/cell
energy relative to the elements, uncorrected = 0.37 eV/atom
symmetry = Amm2 (38)
magnetic moment = 0.00 μB per cell

Structure (Quantum ESPRESSO input):
```
&SYSTEM
  ibrav = 0, nat = 6, ntyp = 3
/
ATOMIC_SPECIES
Sr 87.62 Sr.upf
Mo 95.94 Mo.upf
N 14.01 N.upf
CELL_PARAMETERS angstrom
11.792 0.000 0.000
0.000 1.681 2.770
0.000 -1.681 2.770
ATOMIC_POSITIONS crystal
Sr 0.129 0.000 0.000
Sr 0.871 0.000 0.000
Mo 0.398 0.657 0.657
Mo 0.602 0.657 0.657
N 0.000 0.341 0.341
N 0.500 0.256 0.256
```

Record 2
The following is a GGA-PBE calculation of a relaxed structure of Sr2Mo2N, from Alexandria. Values from VASP.

D(E_F) = 7.092 states/eV/cell
energy relative to the elements, uncorrected = 0.72 eV/atom
symmetry = P4/mbm (127)
magnetic moment = 0.00 μB per cell
energy above the lowest structure with this stoichiometry = 0.0 kJ per mole of atoms

Structure (Quantum ESPRESSO input):
```
&SYSTEM
  ibrav = 0, nat = 10, ntyp = 3
/
ATOMIC_SPECIES
Sr 87.62 Sr.upf
Mo 95.94 Mo.upf
N 14.01 N.upf
CELL_PARAMETERS angstrom
5.774 0.000 0.000
0.000 5.774 0.000
0.000 0.000 5.930
ATOMIC_POSITIONS crystal
Sr 0.180 0.320 0.000
Sr 0.320 0.820 0.000
Sr 0.680 0.180 0.000
Sr 0.820 0.680 0.000
Mo 0.176 0.676 0.500
Mo 0.324 0.176 0.500
Mo 0.676 0.824 0.500
Mo 0.824 0.324 0.500
N 0.000 0.000 0.500
N 0.500 0.500 0.500
```